The following is a DFT calculation (GGA-PBE) of crystalline Ac12Tc3H5 at its relaxed geometry.

```
data_Ac12Tc3H5
_chemical_formula_sum 'Ac96 Tc24 H40'
_space_group_name_H-M_alt 'I a -3 d'
_space_group_IT_number 230
_space_group_name_Hall '-I 4bd 2c 3'
_cell_length_a 16.656
_cell_length_b 16.656
_cell_length_c 16.656
_cell_angle_alpha 90.00
_cell_angle_beta 90.00
_cell_angle_gamma 90.00
loop_
_atom_site_label
_atom_site_type_symbol
_atom_site_fract_x
_atom_site_fract_y
_atom_site_fract_z
Ac1 Ac 0.031 0.063 0.655
Tc1 Tc 0.000 0.250 0.125
H1 H 0.000 0.000 0.000
H2 H 0.000 0.250 0.375
```

## Properties
* N(E_F): 0.7875 states/eV per atom
* final energy: -97.60 eV per formula unit
* density: 8.69 g/cm3